DFT (GGA-PBE) results for a relaxed structure of RbZnGe.

```
RbZnGe
1.0
0.000 3.870 3.870
3.870 0.000 3.870
3.870 3.870 0.000
Ge Rb Zn
1 1 1
direct
0.250 0.250 0.250
0.000 0.000 0.000
0.750 0.750 0.750
```

Computed properties:
Energy above the lowest structure with this stoichiometry ... 0.4792 eV/atom
SG ... F-43m, No. 216
Volume ... 116.0 Å³/f.u.